1.
Density functional theory data (PBE) for a relaxed Ni2BN crystal.

Properties
ΔE_f (raw): 829 meV per atom
space group: Fm-3m
Fermi-level density of states: 3.6 states/eV/f.u.
raw total energy: -5.81 eV per atom

Lattice parameters (Å, degrees): 3.607 3.607 3.607 60.00 60.00 60.00
Fractional positions:
Ni  0.250  0.250  0.250
Ni  0.750  0.750  0.750
B  0.000  0.000  0.000
N  0.500  0.500  0.500



2.
Density functional theory data (PBE) for a relaxed Pr4Dy5Er crystal.

Properties
space group: I4mm
energy relative to the elements: 0.230 eV per atom
Fermi-level density of states: 12.6 states/eV/f.u.
raw total energy: -4.44 eV per atom

Lattice parameters (Å, degrees): 6.001 8.151 8.151 82.21 68.40 68.40
Fractional positions:
Pr  0.446  0.323  0.677
Pr  0.769  0.677  0.677
Pr  0.124  0.323  0.323
Pr  0.446  0.677  0.323
Dy  0.766  0.376  0.000
Dy  0.143  0.000  0.624
Dy  0.766  0.000  0.376
Dy  0.143  0.624  0.000
Dy  0.691  0.000  0.000
Er  0.215  0.000  0.000



> Among the records above, which one has the highest raw total energy?

Pr4Dy5Er